# Th2NpReN5 (GGA-PBE, optimized geometry)
data_Th2NpReN5
_cell_length_a 6.741
_cell_length_b 6.741
_cell_length_c 11.714
_cell_angle_alpha 90.00
_cell_angle_beta 90.00
_cell_angle_gamma 90.00
_symmetry_space_group_name_H-M 'I 4/m c m'
_symmetry_Int_Tables_number 140
_symmetry_space_group_name_Hall '-I 4 2c'
loop_
_atom_site_label
_atom_site_type_symbol
_atom_site_fract_x
_atom_site_fract_y
_atom_site_fract_z
Th1 Th 0.175 0.325 0.000
Np1 Np 0.000 0.000 0.250
Re1 Re 0.000 0.500 0.250
N1 N 0.000 0.000 0.000
N2 N 0.150 0.350 0.358
# - VASP energy: -90.249 eV per formula unit

---

# Li3HgPb (GGA-PBE, optimized geometry)
data_Li3HgPb
_cell_length_a 5.329
_cell_length_b 5.329
_cell_length_c 5.329
_cell_angle_alpha 90.00
_cell_angle_beta 90.00
_cell_angle_gamma 90.00
_symmetry_space_group_name_H-M 'P m -3 m'
_symmetry_Int_Tables_number 221
_symmetry_space_group_name_Hall '-P 4 2 3'
loop_
_atom_site_label
_atom_site_type_symbol
_atom_site_fract_x
_atom_site_fract_y
_atom_site_fract_z
Li1 Li 0.000 0.000 0.500
Hg1 Hg 0.500 0.500 0.500
Pb1 Pb 0.000 0.000 0.000
# - ΔH_f (0 K): 0.067 eV/atom
# - VASP energy: -9.415 eV per formula unit
# - Distance to the lowest polymorph of the same formula: 360.1 meV per atom

---

# VB2Os2 (GGA-PBE, optimized geometry)
data_VB2Os2
_cell_length_a 3.739
_cell_length_b 3.739
_cell_length_c 8.302
_cell_angle_alpha 90.00
_cell_angle_beta 90.00
_cell_angle_gamma 90.00
_symmetry_space_group_name_H-M 'I 4/m m m'
_symmetry_Int_Tables_number 139
_symmetry_space_group_name_Hall '-I 4 2'
loop_
_atom_site_label
_atom_site_type_symbol
_atom_site_fract_x
_atom_site_fract_y
_atom_site_fract_z
V1 V 0.000 0.000 0.000
B1 B 0.000 0.000 0.393
Os1 Os 0.000 0.500 0.250
# - ΔH_f (0 K): 0.025 eV/atom
# - VASP energy: -44.808 eV per formula unit